Entry from Alexandria via LeMat-Bulk: a relaxed NbTl2CrH crystal (GGA-PBE).

For the volume, the calculation gives 24.29 Å³/atom. The value obtained for the raw total energy is -22.1 eV per cell.

Cell: 5.257 5.257 4.395 Å, 90.00 90.00 90.00°
Space group P4/mmm (No. 123)
Inequivalent atoms, fractional coordinates:
Nb: 0.000 0.000 0.000 (multiplicity 1)
Tl: 0.000 0.500 0.500 (multiplicity 2)
Cr: 0.000 0.000 0.500 (multiplicity 1)
H: 0.500 0.500 0.000 (multiplicity 1)